This record from Alexandria via LeMat-Bulk describes crystalline NaAc3Ge2 at its relaxed geometry. The functional is PBE.

Calculated values
Its space-group type is Ibam. For the formation energy, the calculation gives -368 meV/atom.

```
NaAc3Ge2
1.0
-3.723 7.540 3.954
3.723 -7.540 3.954
3.723 7.540 -3.954
Na Ac Ge
2 6 4
direct
0.000 0.000 0.000
0.500 0.500 0.000
0.026 0.250 0.776
0.250 0.750 0.500
0.474 0.250 0.224
0.526 0.750 0.776
0.750 0.250 0.500
0.974 0.750 0.224
0.135 0.708 0.843
0.365 0.208 0.573
0.635 0.792 0.427
0.865 0.292 0.157
```



This record from Alexandria via LeMat-Bulk describes crystalline NiTe2PN at its relaxed geometry. The functional is PBE.

Calculated values
For the energy relative to the lowest polymorph listed for this composition, the calculation gives 3 meV/atom. Its space-group type is P4/mmm.

```
NiTe2PN
1.0
5.240 0.000 0.000
0.000 5.240 0.000
0.000 0.000 3.449
Ni Te P N
1 2 1 1
direct
0.000 0.000 0.000
0.000 0.500 0.000
0.500 0.000 0.000
0.500 0.500 0.500
0.000 0.000 0.500
```



This record from Alexandria via LeMat-Bulk describes crystalline Pm2Y5Pu at its relaxed geometry. The functional is PBE.

Calculated values
Its space-group type is C2/c. For the formation energy, the calculation gives 173 meV/atom.

```
Pm2Y5Pu
1.0
4.686 -4.722 0.000
4.686 4.722 0.000
-2.689 0.000 11.697
Pm Y Pu
4 10 2
direct
0.000 0.000 0.000
0.000 0.000 0.500
0.000 0.500 0.000
0.500 0.000 0.500
0.150 0.850 0.750
0.234 0.513 0.468
0.262 0.356 0.726
0.356 0.262 0.226
0.487 0.766 0.032
0.513 0.234 0.968
0.644 0.738 0.774
0.738 0.644 0.274
0.766 0.487 0.532
0.850 0.150 0.250
0.213 0.787 0.250
0.787 0.213 0.750
```



Here are the calculated final energy numbers, same order: -50.176, -22.455, -109.534 (eV/cell).